No. 1
Below is a relaxed structure of MgNbCuPd, with properties calculated at the PBE-GGA level.

a = 6.3470 Å, b = 6.3470 Å, c = 6.3470 Å
α = 90.00°, β = 90.00°, γ = 90.00°
With the nearest neighbours (Å) after each atom.
Space group F-43m (No. 216)
Inequivalent atoms, fractional coordinates:
Mg1 0.0000 0.0000 0.0000  4 Cu 2.75, 4 Pd 2.75
Nb1 0.0000 0.0000 0.5000  4 Pd 2.75, 4 Cu 2.75
Cu1 0.2500 0.2500 0.7500  4 Nb 2.75, 4 Mg 2.75
Pd1 0.2500 0.2500 0.2500  4 Mg 2.75, 4 Nb 2.75

E_form: -0.170 eV/atom
Total magnetization: 0.0 μB per formula unit
Mass density: 7.460 g/cm3

---

No. 2
Below is a relaxed structure of MgNb2CuS, with properties calculated at the PBE-GGA level.

a = 4.6329 Å, b = 4.6329 Å, c = 4.3275 Å
α = 90.00°, β = 90.00°, γ = 90.00°
With the nearest neighbours (Å) after each atom.
Space group P4/mmm (No. 123)
Inequivalent atoms, fractional coordinates:
Mg1 0.0000 0.0000 0.0000  8 Nb 3.17, 4 Cu 3.28
Nb1 0.0000 0.5000 0.5000  2 S 2.32
Cu1 0.5000 0.5000 0.0000  2 S 2.16
S1 0.5000 0.5000 0.5000  2 Cu 2.16, 4 Nb 2.32

Total magnetization: 0.0 μB per formula unit
Mass density: 5.466 g/cm3
E_tot: -29.2 eV for the cell shown

---

No. 3
Below is a relaxed structure of Mg2NbCuSe, with properties calculated at the PBE-GGA level.

a = 5.4300 Å, b = 5.4300 Å, c = 4.7058 Å
α = 90.00°, β = 90.00°, γ = 90.00°
With the nearest neighbours (Å) after each atom.
Space group P4/mmm (No. 123)
Inequivalent atoms, fractional coordinates:
Mg1 0.0000 0.5000 0.0000  2 Nb 2.71
Nb1 0.0000 0.0000 0.0000  2 Cu 2.35
Cu1 0.0000 0.0000 0.5000  2 Nb 2.35
Se1 0.5000 0.5000 0.5000  8 Mg 3.59, 4 Cu 3.84

Total magnetization: 1.8 μB per formula unit
Mass density: 3.399 g/cm3
E_tot: -14.9 eV for the cell shown

---

No. 4
Below is a relaxed structure of MgNbCuSn2, with properties calculated at the PBE-GGA level.

a = 4.8901 Å, b = 4.8901 Å, c = 4.9496 Å
α = 90.00°, β = 90.00°, γ = 90.00°
With the nearest neighbours (Å) after each atom.
Space group P4/mmm (No. 123)
Inequivalent atoms, fractional coordinates:
Mg1 0.0000 0.0000 0.0000  4 Nb 3.46, 8 Sn 3.48
Nb1 0.5000 0.5000 0.0000  2 Cu 2.47
Cu1 0.5000 0.5000 0.5000  4 Sn 2.45, 2 Nb 2.47
Sn1 0.0000 0.5000 0.5000  2 Cu 2.45

E_form: 0.627 eV/atom
Total magnetization: 0.0 μB per formula unit
Mass density: 5.867 g/cm3

---

No. 5
Below is a relaxed structure of SrMg2NbCu, with properties calculated at the PBE-GGA level.

a = 5.4228 Å, b = 5.4228 Å, c = 4.8386 Å
α = 90.00°, β = 90.00°, γ = 90.00°
With the nearest neighbours (Å) after each atom.
Space group P4/mmm (No. 123)
Inequivalent atoms, fractional coordinates:
Sr1 0.0000 0.0000 0.0000  8 Mg 3.63, 4 Cu 3.83
Mg1 0.0000 0.5000 0.5000  2 Nb 2.71
Nb1 0.5000 0.5000 0.5000  2 Cu 2.42
Cu1 0.5000 0.5000 0.0000  2 Nb 2.42

E_form: 0.673 eV/atom
Total magnetization: 1.6 μB per formula unit
Mass density: 3.416 g/cm3

---

No. 6
Below is a relaxed structure of MgTaNb2Cu, with properties calculated at the PBE-GGA level.

a = 4.8096 Å, b = 4.8096 Å, c = 4.1290 Å
α = 90.00°, β = 90.00°, γ = 90.00°
With the nearest neighbours (Å) after each atom.
Space group P4/mmm (No. 123)
Inequivalent atoms, fractional coordinates:
Mg1 0.0000 0.0000 0.0000  2 Cu 2.06
Ta1 0.5000 0.5000 0.5000  8 Nb 3.17, 4 Cu 3.40
Nb1 0.0000 0.5000 0.0000  2 Mg 2.40
Cu1 0.0000 0.0000 0.5000  2 Mg 2.06

E_form: 1.483 eV/atom
Total magnetization: 0.0 μB per formula unit
Mass density: 7.903 g/cm3

---

No. 7
Below is a relaxed structure of MgNbCu2Te, with properties calculated at the PBE-GGA level.

a = 4.7792 Å, b = 4.7792 Å, c = 5.2284 Å
α = 90.00°, β = 90.00°, γ = 90.00°
With the nearest neighbours (Å) after each atom.
Space group P4/mmm (No. 123)
Inequivalent atoms, fractional coordinates:
Mg1 0.0000 0.0000 0.0000  4 Nb 3.38, 8 Cu 3.54
Nb1 0.5000 0.5000 0.0000  2 Te 2.61
Cu1 0.0000 0.5000 0.5000  2 Te 2.39
Te1 0.5000 0.5000 0.5000  4 Cu 2.39, 2 Nb 2.61

Total magnetization: 0.7 μB per formula unit
Mass density: 5.171 g/cm3
E_tot: -18.7 eV for the cell shown

---

No. 8
Below is a relaxed structure of YMgNbCu2, with properties calculated at the PBE-GGA level.

a = 4.9696 Å, b = 4.9696 Å, c = 5.0400 Å
α = 90.00°, β = 90.00°, γ = 90.00°
With the nearest neighbours (Å) after each atom.
Space group P4/mmm (No. 123)
Inequivalent atoms, fractional coordinates:
Y1 0.0000 0.0000 0.0000  4 Cu 2.48, 2 Nb 2.52
Mg1 0.5000 0.5000 0.5000  4 Nb 3.51, 8 Cu 3.54
Nb1 0.0000 0.0000 0.5000  2 Y 2.52
Cu1 0.0000 0.5000 0.0000  2 Y 2.48

E_form: 1.355 eV/atom
Total magnetization: 0.6 μB per formula unit
Mass density: 4.445 g/cm3

---

No. 9
Below is a relaxed structure of YMgNb2Cu, with properties calculated at the PBE-GGA level.

a = 5.0028 Å, b = 5.0028 Å, c = 4.9776 Å
α = 90.00°, β = 90.00°, γ = 90.00°
With the nearest neighbours (Å) after each atom.
Space group P4/mmm (No. 123)
Inequivalent atoms, fractional coordinates:
Y1 0.0000 0.0000 0.0000  2 Cu 2.49, 4 Nb 2.50
Mg1 0.5000 0.5000 0.5000  8 Nb 3.53, 4 Cu 3.54
Nb1 0.0000 0.5000 0.0000  2 Y 2.50
Cu1 0.0000 0.0000 0.5000  2 Y 2.49

E_form: 1.648 eV/atom
Total magnetization: 0.0 μB per formula unit
Mass density: 4.833 g/cm3

---

No. 10
Below is a relaxed structure of Nd2Mg3Cu2, with properties calculated at the PBE-GGA level.

a = 10.1352 Å, b = 4.4095 Å, c = 7.2872 Å
α = 90.00°, β = 94.94°, γ = 90.00°
With the nearest neighbours (Å) after each atom.
Space group C2/m (No. 12)
Inequivalent atoms, fractional coordinates:
Nd1 0.1307 0.0000 0.3514  5 Cu 2.97-3.16
Mg1 0.0000 0.5000 0.0000  2 Cu 2.76, 4 Mg 3.07
Mg2 0.1774 0.0000 0.8607  2 Cu 2.84, 2 Mg 3.07
Cu1 0.0764 0.5000 0.6459  1 Cu 2.52, 1 Mg 2.76

E_form: -0.149 eV/atom
Total magnetization: 0.0 μB per formula unit
Mass density: 5.000 g/cm3

---

No. 11
Below is a relaxed structure of NdMgCu17, with properties calculated at the PBE-GGA level.

a = 8.5265 Å, b = 8.5265 Å, c = 12.4767 Å
α = 90.00°, β = 90.00°, γ = 120.00°
With the nearest neighbours (Å) after each atom.
Space group R3m (No. 160, hexagonal axes)
Inequivalent atoms, fractional coordinates:
Nd1 0.0000 0.0000 0.0000  19 Cu 3.03-3.26
Mg1 0.0000 0.0000 0.6821  19 Cu 2.98-3.31
Cu1 0.0000 0.0000 0.2480  7 Cu 2.44-2.73
Cu2 0.0000 0.0000 0.4436  7 Cu 2.44-2.60
Cu3 0.0030 0.5015 0.8398  10 Cu 2.45-2.61
Cu4 0.0037 0.2994 0.3411  8 Cu 2.45-2.61
Cu5 0.0061 0.5031 0.4949  9 Cu 2.48-2.73
Cu6 0.0077 0.5039 0.1880  9 Cu 2.45-2.59

E_form: -0.044 eV/atom
Total magnetization: 0.0 μB per formula unit
Mass density: 7.920 g/cm3

---

No. 12
Below is a relaxed structure of NdMg2Cu2, with properties calculated at the PBE-GGA level.

a = 3.9434 Å, b = 12.7892 Å, c = 8.2805 Å
α = 90.00°, β = 90.00°, γ = 90.00°
With the nearest neighbours (Å) after each atom.
Space group Cmc2_1 (No. 36)
Inequivalent atoms, fractional coordinates:
Nd1 0.0000 0.0903 0.0000  7 Cu 3.11-3.43, 1 Mg 3.46
Mg1 0.0000 0.1897 0.6110  5 Cu 2.64-2.68
Mg2 0.0000 0.3808 0.8547  4 Cu 2.64-2.87
Cu1 0.0000 0.2654 0.3141  1 Cu 2.51, 5 Mg 2.64-2.74
Cu2 0.0000 0.4435 0.1873  1 Cu 2.51, 3 Mg 2.64-2.68

E above lowest polymorph: 0.0 meV per atom
E_form: -0.127 eV/atom
Total magnetization: 0.0 μB per formula unit
Mass density: 5.089 g/cm3